Below is an optimized crystal structure of NbHgSe3, with properties calculated at the PBE level.

It has space group P-1 (No. 2), with a = 6.708 Å, b = 6.758 Å, c = 7.391 Å, α = 62.82°, β = 79.31° and γ = 61.09°. The inequivalent atoms are Nb at (0.133, 0.148, 0.486), Hg at (0.494, 0.681, 0.133), Se at (0.099, 0.019, 0.229), Se at (0.140, 0.395, 0.697) and Se at (0.492, 0.221, 0.278).

Its energy above the lowest structure with this stoichiometry is 0.00 eV per formula unit. The value obtained for the uncorrected formation energy is -10.9 kcal/mol of atoms. The calculated total energy is -4.64 eV per atom. Its crystal system is triclinic. The calculation puts the volume at 260.7 Å³ per cell. As for the total magnetization: 0.00 μB/f.u.

---

Below is an optimized crystal structure of NbHgSe3, with properties calculated at the PBE level.

It has space group P-1 (No. 2), with a = 3.371 Å, b = 8.422 Å, c = 9.984 Å, α = 108.49°, β = 90.00° and γ = 101.51°. The inequivalent atoms are Nb at (0.250, 0.001, 0.293), Hg at (0.000, 0.497, 0.324), Se at (0.172, 0.844, 0.496), Se at (0.173, 0.844, 0.827) and Se at (0.372, 0.246, 0.824).

Its energy above the lowest structure with this stoichiometry is 0.02 eV per formula unit. The value obtained for the uncorrected formation energy is -10.8 kcal/mol of atoms. The calculated total energy is -4.63 eV per atom. Its crystal system is triclinic. The calculation puts the volume at 262.8 Å³ per cell. As for the total magnetization: 0.00 μB/f.u.

---

Below is an optimized crystal structure of NbHgSe2, with properties calculated at the PBE level.

It has space group I4/mcm (No. 140), with a = 6.862 Å, b = 6.862 Å, c = 6.879 Å, α = 90.00°, β = 90.00° and γ = 90.00°. The inequivalent atoms are Nb at (0.000, 0.000, 0.250), Hg at (0.000, 0.500, 0.250) and Se at (0.230, 0.270, 0.000).

The value obtained for the uncorrected formation energy is 4.3 kcal/mol of atoms. The calculated total energy is -4.15 eV per atom. Its crystal system is tetragonal. The calculation puts the volume at 323.9 Å³ per cell. As for the total magnetization: 1.17 μB/f.u.

---

Below is an optimized crystal structure of Nb6HgSe12, with properties calculated at the PBE level.

It has space group R-3m (No. 166, hexagonal axes), with a = 12.5514 Å, b = 12.5514 Å, c = 9.7302 Å, α = 90.00°, β = 90.00° and γ = 120.00°. The inequivalent atoms are Nb at (0.0727, 0.5364, 0.2845), Hg at (0.0000, 0.0000, 0.0000), Se at (0.0000, 0.3752, 0.5000) and Se at (0.0932, 0.1865, 0.3565).

The value obtained for the uncorrected formation energy is -9.3 kcal/mol of atoms. The calculated total energy is -5.80 eV per atom. Its crystal system is trigonal. The calculation puts the volume at 1327.5 Å³ per cell. As for the total magnetization: 4.73 μB/f.u.

---

Below is an optimized crystal structure of NbHgSe2, with properties calculated at the PBE level.

It has space group P4/mmm (No. 123), with a = 3.967 Å, b = 3.967 Å, c = 5.723 Å, α = 90.00°, β = 90.00° and γ = 90.00°. The inequivalent atoms are Nb at (0.000, 0.000, 0.000), Hg at (0.500, 0.500, 0.500), Se at (0.000, 0.000, 0.500) and Se at (0.500, 0.500, 0.000).

The value obtained for the uncorrected formation energy is 0.3 kcal/mol of atoms. The calculated total energy is -4.32 eV per atom. Its crystal system is tetragonal. The calculation puts the volume at 90.1 Å³ per cell. As for the total magnetization: 2.25 μB/f.u.

---

Below is an optimized crystal structure of NbHgSe2, with properties calculated at the PBE level.

It has space group Cmcm (No. 63), with a = 3.373 Å, b = 28.426 Å, c = 3.936 Å, α = 90.00°, β = 90.00° and γ = 90.00°. The inequivalent atoms are Nb at (0.000, 0.185, 0.250), Hg at (0.000, 0.461, 0.250), Se at (0.000, 0.284, 0.250) and Se at (0.000, 0.382, 0.750).

The value obtained for the uncorrected formation energy is -9.6 kcal/mol of atoms. The calculated total energy is -4.75 eV per atom. Its crystal system is orthorhombic. The calculation puts the volume at 377.4 Å³ per cell. As for the total magnetization: 0.00 μB/f.u.

---

Below is an optimized crystal structure of NbHgSe2, with properties calculated at the PBE level.

It has space group Ima2 (No. 46), with a = 5.897 Å, b = 11.361 Å, c = 6.863 Å, α = 90.00°, β = 90.00° and γ = 90.00°. The inequivalent atoms are Nb at (0.000, 0.000, 0.000), Hg at (0.250, 0.095, 0.647), Se at (0.250, 0.115, 0.232) and Se at (0.250, 0.675, 0.413).

The value obtained for the uncorrected formation energy is -10.0 kcal/mol of atoms. The calculated total energy is -4.77 eV per atom. Its crystal system is orthorhombic. The calculation puts the volume at 459.8 Å³ per cell. As for the total magnetization: 0.00 μB/f.u.

---

Below is an optimized crystal structure of NbHgSe2, with properties calculated at the PBE level.

It has space group P3m1 (No. 156), with a = 3.4726 Å, b = 3.4726 Å, c = 9.9180 Å, α = 90.00°, β = 90.00° and γ = 120.00°. The inequivalent atoms are Nb at (0.0000, 0.0000, 0.0000), Hg at (0.3333, 0.6667, 0.4802), Se at (0.3333, 0.6667, 0.8298) and Se at (0.6667, 0.3333, 0.1705).

The value obtained for the uncorrected formation energy is -14.1 kcal/mol of atoms. The calculated total energy is -4.95 eV per atom. Its crystal system is trigonal. The calculation puts the volume at 103.6 Å³ per cell. As for the total magnetization: 0.00 μB/f.u.

---

Below is an optimized crystal structure of NbHgSe2, with properties calculated at the PBE level.

It has space group P1 (No. 1), with a = 3.474 Å, b = 3.474 Å, c = 9.598 Å, α = 89.94°, β = 89.80° and γ = 60.01°. The inequivalent atoms are Nb at (0.000, 0.000, 0.000), Hg at (0.335, 0.334, 0.501), Se at (0.665, 0.667, 0.176) and Se at (0.669, 0.666, 0.824).

The value obtained for the uncorrected formation energy is -14.8 kcal/mol of atoms. The calculated total energy is -4.98 eV per atom. Its crystal system is triclinic. The calculation puts the volume at 100.3 Å³ per cell. As for the total magnetization: 0.00 μB/f.u.

---

Below is an optimized crystal structure of NbHgSe2, with properties calculated at the PBE level.

It has space group Cmc2_1 (No. 36), with a = 12.386 Å, b = 5.720 Å, c = 6.045 Å, α = 90.00°, β = 90.00° and γ = 90.00°. The inequivalent atoms are Nb at (0.000, 0.020, 0.000), Hg at (0.000, 0.437, 0.276) and Se at (0.150, 0.166, 0.741).

The value obtained for the uncorrected formation energy is -8.3 kcal/mol of atoms. The calculated total energy is -4.69 eV per atom. Its crystal system is orthorhombic. The calculation puts the volume at 428.3 Å³ per cell. As for the total magnetization: 0.00 μB/f.u.

---

Below is an optimized crystal structure of NbHgSe2, with properties calculated at the PBE level.

It has space group Pnma (No. 62), with a = 7.509 Å, b = 4.922 Å, c = 11.037 Å, α = 90.00°, β = 90.00° and γ = 90.00°. The inequivalent atoms are Nb at (0.075, 0.250, 0.087), Hg at (0.131, 0.750, 0.394), Se at (0.081, 0.750, 0.725) and Se at (0.182, 0.750, 0.061).

The value obtained for the uncorrected formation energy is -8.5 kcal/mol of atoms. The calculated total energy is -4.70 eV per atom. Its crystal system is orthorhombic. The calculation puts the volume at 407.9 Å³ per cell. As for the total magnetization: 0.00 μB/f.u.

---

Below is an optimized crystal structure of NbHgSe2, with properties calculated at the PBE level.

It has space group P2_1/c (No. 14), with a = 6.322 Å, b = 6.125 Å, c = 13.100 Å, α = 90.00°, β = 118.75° and γ = 90.00°. The inequivalent atoms are Nb at (0.218, 0.000, 0.468), Hg at (0.163, 0.249, 0.750), Se at (0.142, 0.745, 0.592) and Se at (0.458, 0.746, 0.407).

The value obtained for the uncorrected formation energy is -9.4 kcal/mol of atoms. The calculated total energy is -4.74 eV per atom. Its crystal system is monoclinic. The calculation puts the volume at 444.7 Å³ per cell. As for the total magnetization: 0.41 μB/f.u.